VASP calculation (PBE) on a relaxed structure of Hg3Au.

As for the total energy: -0.865 eV per atom. For the energy above the most stable polymorph in this dataset, the calculation gives 0.160 eV per atom. Its magnetization is 0.000 μB per atom.

a b c (Å): 7.148 7.148 7.148
angles (deg): 90.00 90.00 90.00
Space group Fm-3m (No. 225)
Inequivalent atoms, fractional coordinates:
Hg 0.000 0.000 0.000 x4
Hg 0.250 0.250 0.250 x8
Au 0.000 0.000 0.500 x4